Below is a relaxed HgBr2 crystal, with properties calculated at the GGA-PBE level.

Computed properties:
The calculation puts the total energy at -14.59 eV/cell.

a = 4.103 Å, b = 4.103 Å, c = 19.752 Å
α = 90.00°, β = 90.00°, γ = 120.00°
Atoms (fractional coordinates):
Hg  0.000  0.000  0.000
Hg  0.333  0.667  0.668
Hg  0.667  0.333  0.332
Br  0.000  0.000  0.251
Br  0.000  0.000  0.749
Br  0.333  0.667  0.413
Br  0.333  0.667  0.919
Br  0.667  0.333  0.081
Br  0.667  0.333  0.587

***

Below is a relaxed Nd2ZrAl3Cu2Ni crystal, with properties calculated at the GGA-PBE level.

Computed properties:
The calculation puts the total energy at -46.07 eV/cell. The total magnetic moment is 0.10 μB per cell.

a = 3.993 Å, b = 7.084 Å, c = 7.084 Å
α = 121.56°, β = 90.00°, γ = 90.00°
Atoms (fractional coordinates):
Nd  0.000  0.206  0.794
Nd  0.000  0.794  0.206
Zr  0.000  0.390  0.390
Al  0.500  0.031  0.031
Al  0.500  0.560  0.779
Al  0.500  0.779  0.560
Cu  0.500  0.146  0.453
Cu  0.500  0.453  0.146
Ni  0.000  0.781  0.781

***

Below is a relaxed CuSiMoW crystal, with properties calculated at the GGA-PBE level.

Computed properties:
The calculation puts the total energy at -32.08 eV/cell. The total magnetic moment is 0.00 μB per cell.

a = 4.322 Å, b = 4.322 Å, c = 4.322 Å
α = 60.00°, β = 60.00°, γ = 60.00°
Atoms (fractional coordinates):
Cu  0.000  0.000  0.000
Si  0.750  0.750  0.750
Mo  0.250  0.250  0.250
W  0.500  0.500  0.500

***

Below is a relaxed ScCd2Cu crystal, with properties calculated at the GGA-PBE level.

Computed properties:
The calculation puts the total energy at -12.51 eV/cell. The calculation puts the formation enthalpy at 0 K at -0.677 eV/f.u. The total magnetic moment is 0.00 μB per cell.

a = 4.679 Å, b = 4.679 Å, c = 4.679 Å
α = 60.00°, β = 60.00°, γ = 60.00°
Atoms (fractional coordinates):
Sc  0.000  0.000  0.000
Cd  0.500  0.500  0.500
Cd  0.750  0.750  0.750
Cu  0.250  0.250  0.250

***

Below is a relaxed KNaHfSe3 crystal, with properties calculated at the GGA-PBE level.

Computed properties:
The calculation puts the total energy at -59.46 eV/cell. The value obtained for the distance to the lowest polymorph of the same formula is 177 meV per atom. The total magnetic moment is 0.01 μB per cell.

a = 7.700 Å, b = 7.700 Å, c = 10.929 Å
α = 90.00°, β = 90.00°, γ = 150.00°
Atoms (fractional coordinates):
K  0.219  0.781  0.750
K  0.781  0.219  0.250
Na  0.072  0.928  0.250
Na  0.928  0.072  0.750
Hf  0.500  0.500  0.000
Hf  0.500  0.500  0.500
Se  0.124  0.876  0.019
Se  0.124  0.876  0.481
Se  0.453  0.547  0.250
Se  0.547  0.453  0.750
Se  0.876  0.124  0.519
Se  0.876  0.124  0.981

***

Below is a relaxed K2OsSe3 crystal, with properties calculated at the GGA-PBE level.

Computed properties:
The calculation puts the total energy at -53.94 eV/cell. The total magnetic moment is 0.49 μB per cell.

a = 6.731 Å, b = 7.325 Å, c = 9.034 Å
α = 71.63°, β = 72.02°, γ = 66.83°
Atoms (fractional coordinates):
K  0.117  0.190  0.117
K  0.354  0.532  0.316
K  0.646  0.468  0.684
K  0.883  0.810  0.883
Os  0.348  0.061  0.695
Os  0.652  0.939  0.305
Se  0.161  0.402  0.716
Se  0.302  0.956  0.486
Se  0.370  0.799  0.926
Se  0.630  0.201  0.074
Se  0.698  0.044  0.514
Se  0.839  0.598  0.284

***

Below is a relaxed GaNiAgPd crystal, with properties calculated at the GGA-PBE level.

Computed properties:
The calculation puts the total energy at -17.38 eV/cell. The total magnetic moment is 0.00 μB per cell.

a = 4.362 Å, b = 4.362 Å, c = 4.362 Å
α = 60.00°, β = 60.00°, γ = 60.00°
Atoms (fractional coordinates):
Ga  0.000  0.000  0.000
Ni  0.250  0.250  0.250
Ag  0.500  0.500  0.500
Pd  0.750  0.750  0.750

***

Below is a relaxed Dy3ClO4 crystal, with properties calculated at the GGA-PBE level.

Computed properties:
The calculation puts the total energy at -125.42 eV/cell. The value obtained for the distance to the lowest polymorph of the same formula is 0 meV per atom. The total magnetic moment is 0.00 μB per cell.

a = 6.148 Å, b = 6.148 Å, c = 11.600 Å
α = 90.00°, β = 90.00°, γ = 141.92°
Atoms (fractional coordinates):
Dy  0.125  0.875  0.750
Dy  0.178  0.822  0.101
Dy  0.178  0.822  0.399
Dy  0.822  0.178  0.601
Dy  0.822  0.178  0.899
Dy  0.875  0.125  0.250
Cl  0.500  0.500  0.000
Cl  0.500  0.500  0.500
O  0.059  0.941  0.250
O  0.234  0.766  0.589
O  0.234  0.766  0.911
O  0.300  0.700  0.250
O  0.700  0.300  0.750
O  0.766  0.234  0.089
O  0.766  0.234  0.411
O  0.941  0.059  0.750

***

Below is a relaxed NdSmBr3N crystal, with properties calculated at the GGA-PBE level.

Computed properties:
The calculation puts the total energy at -67.46 eV/cell. The value obtained for the distance to the lowest polymorph of the same formula is 0 meV per atom. The total magnetic moment is 0.01 μB per cell.

a = 9.365 Å, b = 9.365 Å, c = 11.752 Å
α = 122.76°, β = 122.76°, γ = 24.85°
Atoms (fractional coordinates):
Nd  0.137  0.137  0.286
Nd  0.863  0.863  0.714
Sm  0.423  0.423  0.042
Sm  0.577  0.577  0.958
Br  0.041  0.041  0.750
Br  0.217  0.217  0.117
Br  0.334  0.334  0.489
Br  0.666  0.666  0.511
Br  0.783  0.783  0.883
Br  0.959  0.959  0.250
N  0.426  0.426  0.848
N  0.574  0.574  0.152

***

Below is a relaxed HfHgB crystal, with properties calculated at the GGA-PBE level.

Computed properties:
The calculation puts the total energy at -16.11 eV/cell. The value obtained for the distance to the lowest polymorph of the same formula is 0 meV per atom. The total magnetic moment is 0.00 μB per cell.

a = 4.133 Å, b = 4.133 Å, c = 4.133 Å
α = 60.00°, β = 60.00°, γ = 60.00°
Atoms (fractional coordinates):
Hf  0.000  0.000  0.000
Hg  0.500  0.500  0.500
B  0.250  0.250  0.250

***

Below is a relaxed Hf2FeOs crystal, with properties calculated at the GGA-PBE level.

Computed properties:
The calculation puts the total energy at -41.49 eV/cell. The value obtained for the distance to the lowest polymorph of the same formula is 11 meV per atom. The calculation puts the formation enthalpy at 0 K at -2.049 eV/f.u. The total magnetic moment is 0.05 μB per cell.

a = 3.196 Å, b = 3.196 Å, c = 6.382 Å
α = 90.00°, β = 90.00°, γ = 90.00°
Atoms (fractional coordinates):
Hf  0.000  0.000  0.243
Hf  0.000  0.000  0.757
Fe  0.500  0.500  0.000
Os  0.500  0.500  0.500

***

Below is a relaxed K2ScPtO6 crystal, with properties calculated at the GGA-PBE level.

Computed properties:
The calculation puts the total energy at -58.68 eV/cell. The total magnetic moment is 0.32 μB per cell.

a = 5.651 Å, b = 5.651 Å, c = 5.651 Å
α = 60.00°, β = 60.00°, γ = 60.00°
Atoms (fractional coordinates):
K  0.250  0.250  0.250
K  0.750  0.750  0.750
Sc  0.000  0.000  0.000
Pt  0.500  0.500  0.500
O  0.258  0.258  0.742
O  0.258  0.742  0.258
O  0.258  0.742  0.742
O  0.742  0.258  0.258
O  0.742  0.258  0.742
O  0.742  0.742  0.258

***

Below is a relaxed ZnAgSeO crystal, with properties calculated at the GGA-PBE level.

Computed properties:
The calculation puts the total energy at -25.47 eV/cell. The value obtained for the distance to the lowest polymorph of the same formula is 501 meV per atom.

a = 3.970 Å, b = 3.970 Å, c = 9.511 Å
α = 90.00°, β = 90.00°, γ = 90.00°
Atoms (fractional coordinates):
Zn  0.250  0.250  0.189
Zn  0.750  0.750  0.811
Ag  0.250  0.250  0.616
Ag  0.750  0.750  0.384
Se  0.250  0.750  0.000
Se  0.750  0.250  0.000
O  0.250  0.250  0.378
O  0.750  0.750  0.622

***

Below is a relaxed BeCuReSb crystal, with properties calculated at the GGA-PBE level.

Computed properties:
The calculation puts the total energy at -20.86 eV/cell. The value obtained for the distance to the lowest polymorph of the same formula is 199 meV per atom. The total magnetic moment is 0.00 μB per cell.

a = 4.333 Å, b = 4.333 Å, c = 4.333 Å
α = 60.00°, β = 60.00°, γ = 60.00°
Atoms (fractional coordinates):
Be  0.000  0.000  0.000
Cu  0.500  0.500  0.500
Re  0.750  0.750  0.750
Sb  0.250  0.250  0.250

***

Below is a relaxed Pr3IrO7 crystal, with properties calculated at the GGA-PBE level.

Computed properties:
The calculation puts the total energy at -171.19 eV/cell. The total magnetic moment is 4.01 μB per cell.

a = 6.648 Å, b = 6.648 Å, c = 7.552 Å
α = 90.00°, β = 90.00°, γ = 67.82°
Atoms (fractional coordinates):
Pr  0.000  0.000  0.000
Pr  0.000  0.000  0.500
Pr  0.090  0.468  0.750
Pr  0.468  0.090  0.250
Pr  0.532  0.910  0.750
Pr  0.910  0.532  0.250
Ir  0.500  0.500  0.000
Ir  0.500  0.500  0.500
O  0.103  0.159  0.250
O  0.159  0.103  0.750
O  0.188  0.560  0.042
O  0.188  0.560  0.458
O  0.409  0.591  0.750
O  0.440  0.812  0.042
O  0.440  0.812  0.458
O  0.560  0.188  0.542
O  0.560  0.188  0.958
O  0.591  0.409  0.250
O  0.812  0.440  0.542
O  0.812  0.440  0.958
O  0.841  0.897  0.250
O  0.897  0.841  0.750

***

Below is a relaxed NaCuNiSe3 crystal, with properties calculated at the GGA-PBE level.

Computed properties:
The calculation puts the total energy at -92.43 eV/cell. The value obtained for the distance to the lowest polymorph of the same formula is 52 meV per atom. The total magnetic moment is 1.27 μB per cell.

a = 11.077 Å, b = 3.724 Å, c = 11.658 Å
α = 90.00°, β = 90.00°, γ = 90.00°
Atoms (fractional coordinates):
Na  0.196  0.250  0.035
Na  0.304  0.750  0.535
Na  0.696  0.250  0.465
Na  0.804  0.750  0.965
Cu  0.202  0.750  0.236
Cu  0.298  0.250  0.736
Cu  0.702  0.750  0.264
Cu  0.798  0.250  0.764
Ni  0.073  0.750  0.754
Ni  0.427  0.250  0.254
Ni  0.573  0.750  0.746
Ni  0.927  0.250  0.246
Se  0.010  0.750  0.140
Se  0.105  0.250  0.627
Se  0.236  0.250  0.357
Se  0.264  0.750  0.857
Se  0.395  0.750  0.127
Se  0.490  0.250  0.640
Se  0.510  0.750  0.360
Se  0.605  0.250  0.873
Se  0.736  0.250  0.143
Se  0.764  0.750  0.643
Se  0.895  0.750  0.373
Se  0.990  0.250  0.860

***

Below is a relaxed LiTmLu4Ir2 crystal, with properties calculated at the GGA-PBE level.

Computed properties:
The calculation puts the total energy at -45.70 eV/cell. The total magnetic moment is 0.47 μB per cell.

a = 4.836 Å, b = 4.836 Å, c = 7.245 Å
α = 90.00°, β = 90.00°, γ = 90.00°
Atoms (fractional coordinates):
Li  0.000  0.000  0.000
Tm  0.500  0.500  0.500
Lu  0.000  0.500  0.232
Lu  0.000  0.500  0.768
Lu  0.500  0.000  0.232
Lu  0.500  0.000  0.768
Ir  0.000  0.000  0.500
Ir  0.500  0.500  0.000

***

Below is a relaxed CoBi crystal, with properties calculated at the GGA-PBE level.

Computed properties:
The calculation puts the total energy at -20.84 eV/cell. The total magnetic moment is 2.37 μB per cell.

a = 3.993 Å, b = 3.472 Å, c = 6.117 Å
α = 90.00°, β = 90.00°, γ = 90.00°
Atoms (fractional coordinates):
Co  0.250  0.000  0.099
Co  0.750  0.000  0.901
Bi  0.250  0.500  0.740
Bi  0.750  0.500  0.260

***

Below is a relaxed AcSmNp crystal, with properties calculated at the GGA-PBE level.

Computed properties:
The calculation puts the total energy at -18.08 eV/cell. The value obtained for the distance to the lowest polymorph of the same formula is 0 meV per atom. The calculation puts the formation enthalpy at 0 K at 3.507 eV/f.u. The total magnetic moment is 5.23 μB per cell.

a = 5.359 Å, b = 5.359 Å, c = 5.359 Å
α = 60.00°, β = 60.00°, γ = 60.00°
Atoms (fractional coordinates):
Ac  0.000  0.000  0.000
Sm  0.250  0.250  0.250
Np  0.500  0.500  0.500

***

Below is a relaxed HoTlHgTe3 crystal, with properties calculated at the GGA-PBE level.

Computed properties:
The calculation puts the total energy at -83.65 eV/cell. The value obtained for the distance to the lowest polymorph of the same formula is 2 meV per atom. The total magnetic moment is 0.02 μB per cell.

a = 11.582 Å, b = 4.439 Å, c = 15.201 Å
α = 90.00°, β = 90.00°, γ = 90.00°
Atoms (fractional coordinates):
Ho  0.015  0.250  0.247
Ho  0.485  0.750  0.747
Ho  0.515  0.250  0.253
Ho  0.985  0.750  0.753
Tl  0.231  0.750  0.512
Tl  0.269  0.250  0.012
Tl  0.731  0.750  0.988
Tl  0.769  0.250  0.488
Hg  0.241  0.250  0.713
Hg  0.259  0.750  0.213
Hg  0.741  0.250  0.787
Hg  0.759  0.750  0.287
Te  0.033  0.250  0.615
Te  0.059  0.750  0.108
Te  0.236  0.750  0.835
Te  0.264  0.250  0.335
Te  0.441  0.250  0.608
Te  0.467  0.750  0.115
Te  0.533  0.250  0.885
Te  0.559  0.750  0.392
Te  0.736  0.750  0.665
Te  0.764  0.250  0.165
Te  0.941  0.250  0.892
Te  0.967  0.750  0.385

***

Below is a relaxed TaCoSnHg crystal, with properties calculated at the GGA-PBE level.

Computed properties:
The calculation puts the total energy at -21.08 eV/cell. The value obtained for the distance to the lowest polymorph of the same formula is 0 meV per atom. The total magnetic moment is 0.00 μB per cell.

a = 4.654 Å, b = 4.654 Å, c = 4.654 Å
α = 60.00°, β = 60.00°, γ = 60.00°
Atoms (fractional coordinates):
Ta  0.000  0.000  0.000
Co  0.500  0.500  0.500
Sn  0.250  0.250  0.250
Hg  0.750  0.750  0.750

***

Below is a relaxed CdCuHgPb crystal, with properties calculated at the GGA-PBE level.

Computed properties:
The calculation puts the total energy at -7.64 eV/cell. The value obtained for the distance to the lowest polymorph of the same formula is 0 meV per atom.

a = 5.023 Å, b = 5.023 Å, c = 5.023 Å
α = 60.00°, β = 60.00°, γ = 60.00°
Atoms (fractional coordinates):
Cd  0.000  0.000  0.000
Cu  0.500  0.500  0.500
Hg  0.750  0.750  0.750
Pb  0.250  0.250  0.250

***

| no. | density (kg/m³) |
| --- | --- |
| 1 | 6234 |
| 2 | 6286 |
| 3 | 10807 |
| 4 | 7641 |
| 5 | 4894 |
| 6 | 4418 |
| 7 | 9698 |
| 8 | 7207 |
| 9 | 5050 |
| 10 | 12967 |
| 11 | 15359 |
| 12 | 5390 |
| 13 | 5944 |
| 14 | 10983 |
| 15 | 7812 |
| 16 | 5278 |
| 17 | 12352 |
| 18 | 10491 |
| 19 | 9375 |
| 20 | 8098 |
| 21 | 13023 |
| 22 | 10815 |